1.
NaDyTe | PBE-GGA | optimized geometry

Unit cell a=3.8332 b=3.8332 c=13.6573 alpha=90.00 beta=90.00 gamma=90.00
Closest atoms and distances in Å follow each position.
Positions (direct):
Na 0.0000 0.0000 0.0000  4 Te 3.63, 4 Na 3.83, 5 Dy 3.92-3.98
Na 0.5000 0.5000 0.5000  4 Te 3.63, 4 Na 3.83, 5 Dy 3.92-3.98
Dy 0.0000 0.0000 0.2867  4 Te 3.09
Dy 0.5000 0.5000 0.7867  4 Te 3.09
Te 0.0000 0.0000 0.6773  4 Dy 3.09
Te 0.5000 0.5000 0.1773  4 Dy 3.09

Results
Crystal system ... tetragonal
Distance to the lowest polymorph of the same formula ... 0 meV/atom
Formation energy from raw total energies ... -1.82 eV per formula unit
Spin magnetization ... 0.0 μB/f.u.



2.
NaDy3Te4 | PBE-GGA | optimized geometry

Unit cell a=8.8636 b=12.4015 c=4.3477 alpha=90.00 beta=90.00 gamma=90.00
Closest atoms and distances in Å follow each position.
Positions (direct):
Na 0.0000 0.0000 0.0000  6 Te 3.10-3.12
Na 0.5000 0.5000 0.0000  6 Te 3.10-3.12
Dy 0.0000 0.5000 0.0000  6 Te 3.09-3.10
Dy 0.2500 0.2500 0.5000  6 Te 3.10
Dy 0.2500 0.7500 0.5000  6 Te 3.10
Dy 0.5000 0.0000 0.0000  6 Te 3.09-3.10
Dy 0.7500 0.2500 0.5000  6 Te 3.10
Dy 0.7500 0.7500 0.5000  6 Te 3.10
Te 0.0000 0.2500 0.0000  5 Dy 3.10, 1 Na 3.10
Te 0.0000 0.7500 0.0000  5 Dy 3.10, 1 Na 3.10
Te 0.2472 0.5000 0.5000  4 Dy 3.09-3.10, 2 Na 3.12
Te 0.2528 0.0000 0.5000  4 Dy 3.09-3.10, 2 Na 3.12
Te 0.5000 0.2500 0.0000  5 Dy 3.10, 1 Na 3.10
Te 0.5000 0.7500 0.0000  5 Dy 3.10, 1 Na 3.10
Te 0.7472 0.0000 0.5000  4 Dy 3.09-3.10, 2 Na 3.12
Te 0.7528 0.5000 0.5000  4 Dy 3.09-3.10, 2 Na 3.12

Results
Crystal system ... orthorhombic
Distance to the lowest polymorph of the same formula ... 0 meV/atom
Formation energy from raw total energies ... -10.42 eV per formula unit
Spin magnetization ... 0.0 μB/f.u.



3.
NaDy6Te8 | PBE-GGA | optimized geometry

Unit cell a=8.6979 b=8.6979 c=8.6979 alpha=60.00 beta=60.00 gamma=60.00
Closest atoms and distances in Å follow each position.
Positions (direct):
Na 0.0000 0.0000 0.0000  6 Te 3.16
Dy 0.0000 0.0000 0.5000  6 Te 3.08
Dy 0.0000 0.5000 0.0000  6 Te 3.08
Dy 0.0000 0.5000 0.5000  6 Te 3.08
Dy 0.5000 0.0000 0.0000  6 Te 3.08
Dy 0.5000 0.0000 0.5000  6 Te 3.08
Dy 0.5000 0.5000 0.0000  6 Te 3.08
Te 0.2500 0.2500 0.2500  6 Dy 3.08
Te 0.2572 0.2572 0.7428  4 Dy 3.08, 1 Na 3.16
Te 0.2572 0.7428 0.2572  4 Dy 3.08, 1 Na 3.16
Te 0.2572 0.7428 0.7428  4 Dy 3.08, 1 Na 3.16
Te 0.7428 0.2572 0.2572  4 Dy 3.08, 1 Na 3.16
Te 0.7428 0.2572 0.7428  4 Dy 3.08, 1 Na 3.16
Te 0.7428 0.7428 0.2572  4 Dy 3.08, 1 Na 3.16
Te 0.7500 0.7500 0.7500  6 Dy 3.08

Results
Crystal system ... cubic
Distance to the lowest polymorph of the same formula ... 0 meV/atom
Formation energy from raw total energies ... -19.80 eV per formula unit
Spin magnetization ... 0.0 μB/f.u.



4.
Na3Dy4Te8 | PBE-GGA | optimized geometry

Unit cell a=8.8242 b=8.8242 c=8.7233 alpha=119.15 beta=119.15 gamma=90.79
Closest atoms and distances in Å follow each position.
Positions (direct):
Na 0.0000 0.0000 0.0000  6 Te 3.17-3.20
Na 0.0000 0.5000 0.0000  6 Te 3.10-3.14
Na 0.5000 0.0000 0.0000  6 Te 3.10-3.14
Dy 0.0000 0.5000 0.5000  6 Te 3.10-3.14
Dy 0.5000 0.0000 0.5000  6 Te 3.10-3.14
Dy 0.5000 0.5000 0.0000  6 Te 3.03-3.10
Dy 0.5000 0.5000 0.5000  6 Te 3.05-3.14
Te 0.2504 0.2504 0.5074  4 Dy 3.10-3.14, 1 Na 3.19
Te 0.2535 0.7465 0.5000  3 Dy 3.10, 2 Na 3.14
Te 0.2544 0.7456 0.0000  3 Dy 3.09-3.14, 3 Na 3.10-3.20
Te 0.2634 0.2634 0.0153  2 Dy 3.03-3.05, 3 Na 3.14-3.17
Te 0.7366 0.7366 0.9847  2 Dy 3.03-3.05, 3 Na 3.14-3.17
Te 0.7456 0.2544 0.0000  3 Dy 3.09-3.14, 3 Na 3.10-3.20
Te 0.7465 0.2535 0.5000  3 Dy 3.10, 2 Na 3.14
Te 0.7496 0.7496 0.4926  4 Dy 3.10-3.14, 1 Na 3.19

Results
Crystal system ... monoclinic
Formation energy from raw total energies ... -17.77 eV per formula unit
Spin magnetization ... 0.0 μB/f.u.



5.
NaDy2Te3 | PBE-GGA | optimized geometry

Unit cell a=4.2233 b=12.2348 c=7.5056 alpha=90.00 beta=90.00 gamma=90.00
Closest atoms and distances in Å follow each position.
Positions (direct):
Na 0.0000 0.1266 0.0000  6 Te 3.27-3.47
Na 0.0000 0.8734 0.5000  6 Te 3.27-3.47
Dy 0.0000 0.2076 0.5065  5 Te 2.99-3.09
Dy 0.0000 0.7924 0.0065  5 Te 2.99-3.09
Dy 0.5000 0.4952 0.5062  6 Te 3.10-3.15
Dy 0.5000 0.5048 0.0062  6 Te 3.10-3.15
Te 0.0000 0.3934 0.7644  5 Dy 2.99-3.13
Te 0.0000 0.6066 0.2644  5 Dy 2.99-3.13
Te 0.5000 0.0691 0.6806  2 Dy 3.01, 2 Na 3.27
Te 0.5000 0.2954 0.2423  4 Dy 3.09-3.15
Te 0.5000 0.7046 0.7423  4 Dy 3.09-3.15
Te 0.5000 0.9309 0.1806  2 Dy 3.01, 2 Na 3.27

Results
Crystal system ... orthorhombic
Distance to the lowest polymorph of the same formula ... 100 meV/atom
Formation energy from raw total energies ... -7.17 eV per formula unit
Spin magnetization ... 0.0 μB/f.u.



6.
NaDy3Te4 | PBE-GGA | optimized geometry

Unit cell a=6.1866 b=6.1866 c=12.4109 alpha=90.00 beta=90.00 gamma=90.00
Closest atoms and distances in Å follow each position.
Positions (direct):
Na 0.0000 0.0000 0.0000  6 Te 3.09-3.10
Na 0.5000 0.5000 0.5000  6 Te 3.09-3.10
Dy 0.0000 0.0000 0.5000  6 Te 3.09-3.11
Dy 0.0000 0.5000 0.2500  6 Te 3.09-3.10
Dy 0.0000 0.5000 0.7500  6 Te 3.09-3.10
Dy 0.5000 0.0000 0.2500  6 Te 3.09-3.10
Dy 0.5000 0.0000 0.7500  6 Te 3.09-3.10
Dy 0.5000 0.5000 0.0000  6 Te 3.09-3.11
Te 0.0000 0.0000 0.2498  5 Dy 3.09-3.11, 1 Na 3.10
Te 0.0000 0.0000 0.7502  5 Dy 3.09-3.11, 1 Na 3.10
Te 0.0000 0.5000 0.0000  4 Dy 3.09-3.10, 2 Na 3.09
Te 0.0000 0.5000 0.5000  4 Dy 3.09-3.10, 2 Na 3.09
Te 0.5000 0.0000 0.0000  4 Dy 3.09-3.10, 2 Na 3.09
Te 0.5000 0.0000 0.5000  4 Dy 3.09-3.10, 2 Na 3.09
Te 0.5000 0.5000 0.2502  5 Dy 3.09-3.11, 1 Na 3.10
Te 0.5000 0.5000 0.7498  5 Dy 3.09-3.11, 1 Na 3.10

Results
Crystal system ... tetragonal
Distance to the lowest polymorph of the same formula ... 8 meV/atom
Formation energy from raw total energies ... -10.36 eV per formula unit
Spin magnetization ... 0.0 μB/f.u.



7.
NaDy6Te8 | PBE-GGA | optimized geometry

Unit cell a=11.5600 b=11.5600 c=4.4745 alpha=90.00 beta=90.00 gamma=120.00
Closest atoms and distances in Å follow each position.
Positions (direct):
Na 0.0000 0.0000 0.0000  6 Te 3.92
Dy 0.1348 0.6482 0.7502  6 Te 3.07-3.13
Dy 0.3518 0.4867 0.7502  6 Te 3.07-3.13
Dy 0.4867 0.1348 0.2498  6 Te 3.07-3.13
Dy 0.5133 0.8652 0.7502  6 Te 3.07-3.13
Dy 0.6482 0.5133 0.2498  6 Te 3.07-3.13
Dy 0.8652 0.3518 0.2498  6 Te 3.07-3.13
Te 0.0431 0.3445 0.7501  4 Dy 3.07-3.12
Te 0.3014 0.9569 0.7501  4 Dy 3.07-3.12
Te 0.3333 0.6667 0.2503  6 Dy 3.13
Te 0.3445 0.3014 0.2499  4 Dy 3.07-3.12
Te 0.6555 0.6986 0.7501  4 Dy 3.07-3.12
Te 0.6667 0.3333 0.7497  6 Dy 3.13
Te 0.6986 0.0431 0.2499  4 Dy 3.07-3.12
Te 0.9569 0.6555 0.2499  4 Dy 3.07-3.12

Results
Crystal system ... trigonal
Distance to the lowest polymorph of the same formula ... 49 meV/atom
Formation energy from raw total energies ... -19.06 eV per formula unit
Spin magnetization ... 0.0 μB/f.u.



8.
NaDy4Te5 | PBE-GGA | optimized geometry

Unit cell a=7.6381 b=7.6381 c=10.7790 alpha=118.43 beta=118.43 gamma=33.07
Closest atoms and distances in Å follow each position.
Positions (direct):
Na 0.0000 0.0000 0.0000  6 Te 3.10-3.14
Dy 0.1980 0.1980 0.7923  6 Te 3.04-3.14
Dy 0.4022 0.4022 0.5956  6 Te 3.05-3.14
Dy 0.5978 0.5978 0.4044  6 Te 3.05-3.14
Dy 0.8020 0.8020 0.2077  6 Te 3.04-3.14
Te 0.0000 0.0000 0.5000  6 Dy 3.04-3.05
Te 0.1974 0.1974 0.3016  1 Na 3.10, 5 Dy 3.10-3.11
Te 0.3956 0.3956 0.1004  4 Dy 3.08-3.14, 2 Na 3.14
Te 0.6044 0.6044 0.8996  4 Dy 3.08-3.14, 2 Na 3.14
Te 0.8026 0.8026 0.6984  1 Na 3.10, 5 Dy 3.10-3.11

Results
Crystal system ... monoclinic
Formation energy from raw total energies ... -13.01 eV per formula unit
Spin magnetization ... 0.0 μB/f.u.



9.
NaDyTe4 | PBE-GGA | optimized geometry

Unit cell a=6.8031 b=6.8031 c=8.1887 alpha=90.00 beta=90.00 gamma=90.00
Closest atoms and distances in Å follow each position.
Positions (direct):
Na 0.2500 0.2500 0.0000  8 Te 3.42
Na 0.7500 0.7500 0.0000  8 Te 3.42
Dy 0.2500 0.2500 0.5000  8 Te 3.20
Dy 0.7500 0.7500 0.5000  8 Te 3.20
Te 0.1027 0.6027 0.2719  1 Te 2.83
Te 0.1027 0.8973 0.7281  1 Te 2.83
Te 0.3973 0.6027 0.7281  1 Te 2.83
Te 0.3973 0.8973 0.2719  1 Te 2.83
Te 0.6027 0.1027 0.7281  1 Te 2.83
Te 0.6027 0.3973 0.2719  1 Te 2.83
Te 0.8973 0.1027 0.2719  1 Te 2.83
Te 0.8973 0.3973 0.7281  1 Te 2.83

Results
Crystal system ... tetragonal
Formation energy from raw total energies ... -5.09 eV per formula unit
Spin magnetization ... 0.0 μB/f.u.



10.
NaDyTe | PBE-GGA | optimized geometry

Unit cell a=10.8039 b=4.0570 c=9.4912 alpha=90.00 beta=106.94 gamma=90.00
Closest atoms and distances in Å follow each position.
Positions (direct):
Na 0.1413 0.0000 0.0059  3 Na 3.02-3.13, 2 Te 3.20-3.21
Na 0.3587 0.5000 0.9941  3 Na 3.02-3.13, 2 Te 3.20-3.21
Na 0.6413 0.5000 0.0059  3 Na 3.02-3.13, 2 Te 3.20-3.21
Na 0.8587 0.0000 0.9941  3 Na 3.02-3.13, 2 Te 3.20-3.21
Dy 0.2000 0.0000 0.6381  4 Te 3.01-3.13
Dy 0.3000 0.5000 0.3619  4 Te 3.01-3.13
Dy 0.7000 0.5000 0.6381  4 Te 3.01-3.13
Dy 0.8000 0.0000 0.3619  4 Te 3.01-3.13
Te 0.0709 0.0000 0.3108  4 Dy 3.01-3.13, 2 Na 3.20-3.21
Te 0.4291 0.5000 0.6892  4 Dy 3.01-3.13, 2 Na 3.20-3.21
Te 0.5709 0.5000 0.3108  4 Dy 3.01-3.13, 2 Na 3.20-3.21
Te 0.9291 0.0000 0.6892  4 Dy 3.01-3.13, 2 Na 3.20-3.21

Results
Crystal system ... monoclinic
Distance to the lowest polymorph of the same formula ... 56 meV/atom
Formation energy from raw total energies ... -1.65 eV per formula unit
Spin magnetization ... 0.0 μB/f.u.



11.
NaDy2Te3 | PBE-GGA | optimized geometry

Unit cell a=4.3691 b=6.2215 c=13.3517 alpha=90.00 beta=90.00 gamma=90.00
Closest atoms and distances in Å follow each position.
Positions (direct):
Na 0.0000 0.0000 0.0000  6 Te 3.11-3.16
Na 0.5000 0.5000 0.5000  6 Te 3.11-3.16
Dy 0.0000 0.0000 0.3361  6 Te 3.09-3.11
Dy 0.0000 0.0000 0.6639  6 Te 3.09-3.11
Dy 0.5000 0.5000 0.1639  6 Te 3.09-3.11
Dy 0.5000 0.5000 0.8361  6 Te 3.09-3.11
Te 0.0000 0.5000 0.0000  4 Dy 3.09, 2 Na 3.11
Te 0.0000 0.5000 0.3287  4 Dy 3.10-3.11, 2 Na 3.16
Te 0.0000 0.5000 0.6713  4 Dy 3.10-3.11, 2 Na 3.16
Te 0.5000 0.0000 0.1713  4 Dy 3.10-3.11, 2 Na 3.16
Te 0.5000 0.0000 0.5000  4 Dy 3.09, 2 Na 3.11
Te 0.5000 0.0000 0.8287  4 Dy 3.10-3.11, 2 Na 3.16

Results
Crystal system ... orthorhombic
Distance to the lowest polymorph of the same formula ... 0 meV/atom
Formation energy from raw total energies ... -7.77 eV per formula unit
Spin magnetization ... 0.0 μB/f.u.